# NaAcTeAu PBE optimized geometry
# Formation energy from raw total energies: -0.8223 eV/atom
# Energy: -60.5 eV for the cell shown
# V: 29.32 A^3/atom
data_NaAcTeAu
_chemical_formula_sum 'Na4 Ac4 Te4 Au4'
_space_group_name_H-M_alt 'F -4 3 m'
_space_group_IT_number 216
_space_group_name_Hall 'F -4 2 3'
_cell_length_a 7.770
_cell_length_b 7.770
_cell_length_c 7.770
_cell_angle_alpha 90.00
_cell_angle_beta 90.00
_cell_angle_gamma 90.00
loop_
_atom_site_label
_atom_site_fract_x
_atom_site_fract_y
_atom_site_fract_z
Na1 0.000 0.000 0.000
Ac1 0.000 0.000 0.500
Te1 0.250 0.250 0.250
Au1 0.250 0.250 0.750